No. 1
# PaCu2Ge

PaCu2Ge after structural relaxation (PBE-GGA, Alexandria).

Energy relative to the lowest polymorph listed for this composition (eV/atom): 0.2316
Calculated density (g/cm³): 9.8
Energy of formation from the pure elements (meV per atom): 35

Cell lengths 4.144, 4.144, 4.235 Å; angles 90.00, 90.00, 90.00 degrees
Space group P4/mmm (No. 123)
Symmetry-distinct sites (fractional):
Pa: 0.000 0.000 0.000 [1 per cell]
Cu: 0.000 0.500 0.500 [2 per cell]
Ge: 0.500 0.500 0.000 [1 per cell]

=====

No. 2
# ReP2PdS

ReP2PdS after structural relaxation (PBE-GGA, Alexandria).

Energy relative to the lowest polymorph listed for this composition (eV/atom): 0.5397
Calculated density (g/cm³): 7.3
Energy relative to the elements, uncorrected (eV/atom): 1.24

Cell lengths 4.527, 4.527, 4.302 Å; angles 90.00, 90.00, 90.00 degrees
Space group P4/mmm (No. 123)
Symmetry-distinct sites (fractional):
Re: 0.000 0.000 0.000 [1 per cell]
P: 0.000 0.500 0.500 [2 per cell]
Pd: 0.500 0.500 0.000 [1 per cell]
S: 0.000 0.000 0.500 [1 per cell]

=====

No. 3
# Pm2Dy8Sc

Pm2Dy8Sc after structural relaxation (PBE-GGA, Alexandria).

Calculated density (g/cm³): 7.9
Energy of formation from the pure elements (meV per atom): 29

Cell lengths 18.037, 4.998, 7.919 Å; angles 90.00, 105.32, 90.00 degrees
Space group C2/m (No. 12)
Symmetry-distinct sites (fractional):
Pm: 0.226 0.000 0.137 [4 per cell]
Dy: 0.044 0.000 0.230 [4 per cell]
Dy: 0.089 0.500 0.949 [4 per cell]
Dy: 0.134 0.000 0.676 [4 per cell]
Dy: 0.180 0.500 0.409 [4 per cell]
Sc: 0.000 0.500 0.500 [2 per cell]

=====

No. 4
# NbBr2O

NbBr2O after structural relaxation (PBE-GGA, Alexandria).

Calculated density (g/cm³): 5.4
Energy relative to the elements, uncorrected (eV/atom): 0.71

Cell lengths 3.4361, 3.4361, 24.2066 Å; angles 90.00, 90.00, 120.00 degrees
Space group R-3m (No. 166, hexagonal axes)
Symmetry-distinct sites (fractional):
Nb: 0.0000 0.0000 0.0000 [3 per cell]
Br: 0.0000 0.0000 0.0992 [6 per cell]
O: 0.0000 0.0000 0.5000 [3 per cell]

=====

No. 5
# YInSeBr2

YInSeBr2 after structural relaxation (PBE-GGA, Alexandria).

Energy relative to the lowest polymorph listed for this composition (eV/atom): 0.9121
Calculated density (g/cm³): 4.9
Energy relative to the elements, uncorrected (eV/atom): -0.32

Cell lengths 5.288, 5.288, 5.405 Å; angles 90.00, 90.00, 90.00 degrees
Space group P4/mmm (No. 123)
Symmetry-distinct sites (fractional):
Y: 0.000 0.000 0.000 [1 per cell]
In: 0.500 0.500 0.500 [1 per cell]
Se: 0.500 0.500 0.000 [1 per cell]
Br: 0.000 0.500 0.500 [2 per cell]

=====

No. 6
# CsRbIO2

CsRbIO2 after structural relaxation (PBE-GGA, Alexandria).

Energy relative to the lowest polymorph listed for this composition (eV/atom): 0.0000
Calculated density (g/cm³): 2.8
Energy relative to the elements, uncorrected (eV/atom): -0.28

Cell lengths 5.530, 5.530, 7.356 Å; angles 90.00, 90.00, 90.00 degrees
Space group P4/mmm (No. 123)
Symmetry-distinct sites (fractional):
Cs: 0.000 0.000 0.000 [1 per cell]
Rb: 0.500 0.500 0.500 [1 per cell]
I: 0.500 0.500 0.000 [1 per cell]
O: 0.000 0.500 0.500 [2 per cell]

=====

No. 7
# Pm2NdTmS4

Pm2NdTmS4 after structural relaxation (PBE-GGA, Alexandria).

Calculated density (g/cm³): 6.7
Energy relative to the elements, uncorrected (eV/atom): -2.00

Cell lengths 6.933, 3.947, 6.976 Å; angles 90.00, 108.84, 90.00 degrees
Space group P2/m (No. 10)
Symmetry-distinct sites (fractional):
Pm: 0.000 0.000 0.000 [1 per cell]
Pm: 0.000 0.500 0.500 [1 per cell]
Nd: 0.500 0.000 0.500 [1 per cell]
Tm: 0.500 0.500 0.000 [1 per cell]
S: 0.255 0.500 0.241 [2 per cell]
S: 0.262 0.000 0.764 [2 per cell]

=====

No. 8
# YCd3Pd4

YCd3Pd4 after structural relaxation (PBE-GGA, Alexandria).

Calculated density (g/cm³): 9.6
Energy of formation from the pure elements (meV per atom): -561

Cell lengths 9.486, 6.569, 4.744 Å; angles 90.00, 90.00, 90.00 degrees
Space group Pmma (No. 51)
Symmetry-distinct sites (fractional):
Y: 0.000 0.000 0.000 [2 per cell]
Cd: 0.000 0.500 0.000 [2 per cell]
Cd: 0.250 0.000 0.499 [2 per cell]
Cd: 0.250 0.500 0.498 [2 per cell]
Pd: 0.000 0.260 0.500 [4 per cell]
Pd: 0.250 0.260 0.998 [4 per cell]

=====

Which of these has the highest calculated density?
PaCu2Ge